Zn2Pd7Pt3: optimized geometry, GGA-PBE.

Structure (POSCAR):
```
Zn2Pd7Pt3
1.0
4.606 0.000 0.000
0.000 2.757 0.000
-0.461 0.000 14.728
Zn Pd Pt
2 7 3
Cartesian
0.811 0.000 4.364
3.334 0.000 10.364
0.753 1.378 2.220
0.920 0.000 6.792
1.085 0.000 11.939
2.303 1.378 0.000
3.060 0.000 2.788
3.225 0.000 7.936
3.392 1.378 12.508
0.000 0.000 0.000
0.971 1.378 9.383
3.174 1.378 5.344
```

## Properties
Energy of formation from the pure elements ... -87 meV per atom
Space-group type ... P2/m